A plane-wave DFT calculation with PBE was carried out for an optimized crystal structure of HfTlSeS.

Properties
Crystal system: monoclinic
V: 25.48 A^3/atom
Symmetry: Cm, No. 8
VASP energy: -6.0692 eV/atom

Unit cell a=6.3304 b=3.6558 c=9.0551 alpha=90.00 beta=103.43 gamma=90.00
Closest atoms and distances in Å follow each position.
Fractional coordinates of all 8 atoms:
Hf 0.0000 0.0000 0.0000  3 S 2.56, 3 Se 2.69
Hf 0.5000 0.5000 0.0000  3 S 2.56, 3 Se 2.69
Tl 0.3329 0.5000 0.4962  3 Se 3.49, 3 S 3.60, 6 Tl 3.66
Tl 0.8329 0.0000 0.4962  3 Se 3.49, 3 S 3.60, 6 Tl 3.66
Se 0.1040 0.5000 0.8113  3 Hf 2.69
Se 0.6040 0.0000 0.8113  3 Hf 2.69
S 0.3883 0.0000 0.1654  3 Hf 2.56
S 0.8883 0.5000 0.1654  3 Hf 2.56

A plane-wave DFT calculation with PBE was carried out for an optimized crystal structure of HfSi2S4.

Properties
Crystal system: tetragonal
V: 23.00 A^3/atom
Symmetry: I4/m, No. 87
VASP energy: -5.4839 eV/atom

Unit cell a=6.9753 b=6.9753 c=6.6171 alpha=90.00 beta=90.00 gamma=90.00
Closest atoms and distances in Å follow each position.
Fractional coordinates of all 14 atoms:
Hf 0.0000 0.0000 0.0000  4 S 2.51
Hf 0.5000 0.5000 0.5000  4 S 2.51
Si 0.0000 0.5000 0.2500  4 S 2.39
Si 0.0000 0.5000 0.7500  4 S 2.39
Si 0.5000 0.0000 0.2500  4 S 2.39
Si 0.5000 0.0000 0.7500  4 S 2.39
S 0.1669 0.3186 0.0000  2 Si 2.39, 1 Hf 2.51
S 0.1814 0.6669 0.5000  2 Si 2.39, 1 Hf 2.51
S 0.3186 0.8331 0.0000  2 Si 2.39, 1 Hf 2.51
S 0.3331 0.1814 0.5000  2 Si 2.39, 1 Hf 2.51
S 0.6669 0.8186 0.5000  2 Si 2.39, 1 Hf 2.51
S 0.6814 0.1669 0.0000  2 Si 2.39, 1 Hf 2.51
S 0.8186 0.3331 0.5000  2 Si 2.39, 1 Hf 2.51
S 0.8331 0.6814 0.0000  2 Si 2.39, 1 Hf 2.51

A plane-wave DFT calculation with PBE was carried out for an optimized crystal structure of HfSiS3.

Properties
Crystal system: cubic
V: 17.63 A^3/atom
Symmetry: Pm-3m, No. 221
VASP energy: -5.6555 eV/atom

Unit cell a=4.4504 b=4.4504 c=4.4504 alpha=90.00 beta=90.00 gamma=90.00
Closest atoms and distances in Å follow each position.
Fractional coordinates of all 5 atoms:
Hf 0.0000 0.0000 0.0000  12 S 3.15
Si 0.5000 0.5000 0.5000  6 S 2.23
S 0.0000 0.5000 0.5000  2 Si 2.23
S 0.5000 0.0000 0.5000  2 Si 2.23
S 0.5000 0.5000 0.0000  2 Si 2.23

- Which of these has the lowest V?
  HfSiS3

- What is the VASP energy in the first record?
  -6.0692 eV/atom

- Which value of V does entry 1 give?
  25.48 A^3/atom

Please write out number 2 again, unchanged.
A plane-wave DFT calculation with PBE was carried out for an optimized crystal structure of HfSi2S4.

Properties
Crystal system: tetragonal
V: 23.00 A^3/atom
Symmetry: I4/m, No. 87
VASP energy: -5.4839 eV/atom

Unit cell a=6.9753 b=6.9753 c=6.6171 alpha=90.00 beta=90.00 gamma=90.00
Closest atoms and distances in Å follow each position.
Fractional coordinates of all 14 atoms:
Hf 0.0000 0.0000 0.0000  4 S 2.51
Hf 0.5000 0.5000 0.5000  4 S 2.51
Si 0.0000 0.5000 0.2500  4 S 2.39
Si 0.0000 0.5000 0.7500  4 S 2.39
Si 0.5000 0.0000 0.2500  4 S 2.39
Si 0.5000 0.0000 0.7500  4 S 2.39
S 0.1669 0.3186 0.0000  2 Si 2.39, 1 Hf 2.51
S 0.1814 0.6669 0.5000  2 Si 2.39, 1 Hf 2.51
S 0.3186 0.8331 0.0000  2 Si 2.39, 1 Hf 2.51
S 0.3331 0.1814 0.5000  2 Si 2.39, 1 Hf 2.51
S 0.6669 0.8186 0.5000  2 Si 2.39, 1 Hf 2.51
S 0.6814 0.1669 0.0000  2 Si 2.39, 1 Hf 2.51
S 0.8186 0.3331 0.5000  2 Si 2.39, 1 Hf 2.51
S 0.8331 0.6814 0.0000  2 Si 2.39, 1 Hf 2.51